# SeClF | Alexandria | GGA-PBE | optimized geometry
# DFT total energy = -3.1739 eV per atom
# E above lowest polymorph = 33.7 meV/atom
# Energy relative to the elements, uncorrected = -0.77 eV per atom
# Fermi-level density of states = 0.0000 states/eV/atom
data_SeClF
_symmetry_space_group_name_H-M 'P 1'
_symmetry_Int_Tables_number 1
_cell_length_a 5.3160
_cell_length_b 6.2210
_cell_length_c 6.2549
_cell_angle_alpha 61.66
_cell_angle_beta 79.60
_cell_angle_gamma 84.48
loop_
_symmetry_equiv_pos_as_xyz
'x,y,z'
loop_
_atom_site_label
_atom_site_fract_x
_atom_site_fract_y
_atom_site_fract_z
Se1 0.0000 0.0000 0.0000
Se2 0.2597 0.3332 0.8808
Cl1 0.1732 0.6152 0.5128
Cl2 0.4390 0.0393 0.7285
F1 0.0517 0.4834 0.0412
F2 0.7156 0.0731 0.1715

# Se2ClF2 | Alexandria | GGA-PBE | optimized geometry
# DFT total energy = -3.2525 eV per atom
# Energy relative to the elements, uncorrected = -0.74 eV per atom
# Fermi-level density of states = 0.0996 states/eV/atom
data_Se2ClF2
_symmetry_space_group_name_H-M 'C 1 2/c 1'
_symmetry_Int_Tables_number 15
_cell_length_a 11.7444
_cell_length_b 5.5492
_cell_length_c 9.1702
_cell_angle_alpha 90.00
_cell_angle_beta 125.45
_cell_angle_gamma 90.00
loop_
_symmetry_equiv_pos_as_xyz
'x,y,z'
'-x,-y,-z'
'-x,y,-z+1/2'
'x,-y,z+1/2'
'x+1/2,y+1/2,z'
'-x+1/2,-y+1/2,-z'
'-x+1/2,y+1/2,-z+1/2'
'x+1/2,-y+1/2,z+1/2'
loop_
_atom_site_label
_atom_site_fract_x
_atom_site_fract_y
_atom_site_fract_z
Se1 0.0978 0.1343 0.0517
Cl1 0.0000 0.3301 0.7500
F1 0.1963 0.0459 0.2909

# SeClF | Alexandria | GGA-PBE | optimized geometry
# DFT total energy = -3.1456 eV per atom
# E above lowest polymorph = 62.0 meV/atom
# Energy relative to the elements, uncorrected = -0.74 eV per atom
# Fermi-level density of states = 0.0000 states/eV/atom
data_SeClF
_symmetry_space_group_name_H-M 'P 1'
_symmetry_Int_Tables_number 1
_cell_length_a 3.6718
_cell_length_b 6.2562
_cell_length_c 7.4369
_cell_angle_alpha 105.03
_cell_angle_beta 100.24
_cell_angle_gamma 106.07
loop_
_symmetry_equiv_pos_as_xyz
'x,y,z'
loop_
_atom_site_label
_atom_site_fract_x
_atom_site_fract_y
_atom_site_fract_z
Se1 0.0000 0.0000 0.0000
Se2 0.3674 0.6881 0.9963
Cl1 0.1644 0.5065 0.6878
Cl2 0.2924 0.0062 0.3202
F1 0.6458 0.4707 0.0323
F2 0.8077 0.9543 0.7401

# SeCl3F | Alexandria | GGA-PBE | optimized geometry
# DFT total energy = -2.8319 eV per atom
# E above lowest polymorph = 0.0 meV/atom
# Energy relative to the elements, uncorrected = -0.65 eV per atom
# Fermi-level density of states = 0.0000 states/eV/atom
data_SeCl3F
_symmetry_space_group_name_H-M 'P 1 2/c 1'
_symmetry_Int_Tables_number 13
_cell_length_a 6.2565
_cell_length_b 10.3308
_cell_length_c 11.5869
_cell_angle_alpha 90.00
_cell_angle_beta 93.53
_cell_angle_gamma 90.00
loop_
_symmetry_equiv_pos_as_xyz
'x,y,z'
'-x,-y,-z'
'-x,y,-z+1/2'
'x,-y,z+1/2'
loop_
_atom_site_label
_atom_site_fract_x
_atom_site_fract_y
_atom_site_fract_z
Se1 0.0903 0.1528 0.0901
Cl1 0.0160 0.3623 0.0850
Cl2 0.1236 0.1153 0.5990
Cl3 0.3881 0.1621 0.0050
F1 0.2297 0.1615 0.2365

# SeClF | Alexandria | GGA-PBE | optimized geometry
# DFT total energy = -3.1957 eV per atom
# E above lowest polymorph = 11.9 meV/atom
# Energy relative to the elements, uncorrected = -0.79 eV per atom
# Fermi-level density of states = 0.0000 states/eV/atom
data_SeClF
_symmetry_space_group_name_H-M 'P 1'
_symmetry_Int_Tables_number 1
_cell_length_a 4.2018
_cell_length_b 6.0167
_cell_length_c 7.5952
_cell_angle_alpha 102.17
_cell_angle_beta 104.81
_cell_angle_gamma 102.88
loop_
_symmetry_equiv_pos_as_xyz
'x,y,z'
loop_
_atom_site_label
_atom_site_fract_x
_atom_site_fract_y
_atom_site_fract_z
Se1 0.0000 0.0000 0.0000
Se2 0.1539 0.6949 0.8090
Cl1 0.0251 0.9179 0.2650
Cl2 0.6742 0.4085 0.6273
F1 0.0397 0.9034 0.6576
F2 0.2174 0.5326 0.9916

# SeClF2 | Alexandria | GGA-PBE | optimized geometry
# DFT total energy = -2.8840 eV per atom
# E above lowest polymorph = 522.8 meV/atom
# Energy relative to the elements, uncorrected = -0.62 eV per atom
# Fermi-level density of states = 0.5386 states/eV/atom
data_SeClF2
_symmetry_space_group_name_H-M 'R -3 m'
_symmetry_Int_Tables_number 166
_symmetry_space_group_name_Hall '-R 3 2"'
_cell_length_a 2.9272
_cell_length_b 2.9272
_cell_length_c 30.4138
_cell_angle_alpha 90.00
_cell_angle_beta 90.00
_cell_angle_gamma 120.00
loop_
_atom_site_label
_atom_site_fract_x
_atom_site_fract_y
_atom_site_fract_z
Se1 0.0000 0.0000 0.0000
Cl1 0.0000 0.0000 0.5000
F1 0.0000 0.0000 0.0603

# SeCl4F | Alexandria | GGA-PBE | optimized geometry
# DFT total energy = -2.4118 eV per atom
# Energy relative to the elements, uncorrected = -0.29 eV per atom
data_SeCl4F
_symmetry_space_group_name_H-M 'P 1'
_symmetry_Int_Tables_number 1
_cell_length_a 6.1682
_cell_length_b 6.3115
_cell_length_c 6.4642
_cell_angle_alpha 99.21
_cell_angle_beta 107.79
_cell_angle_gamma 111.52
loop_
_symmetry_equiv_pos_as_xyz
'x,y,z'
loop_
_atom_site_label
_atom_site_fract_x
_atom_site_fract_y
_atom_site_fract_z
Se1 0.0000 0.0000 0.0000
Cl1 0.1042 0.4083 0.3265
Cl2 0.2102 0.1991 0.8305
Cl3 0.7194 0.1883 0.2859
Cl4 0.8352 0.6403 0.7645
F1 0.3645 0.9813 0.2508

# SeClF2 | Alexandria | GGA-PBE | optimized geometry
# DFT total energy = -3.3745 eV per atom
# E above lowest polymorph = 32.3 meV/atom
# Energy relative to the elements, uncorrected = -1.11 eV per atom
# Fermi-level density of states = 0.0000 states/eV/atom
data_SeClF2
_symmetry_space_group_name_H-M 'P 1'
_symmetry_Int_Tables_number 1
_cell_length_a 5.6224
_cell_length_b 6.0648
_cell_length_c 6.4776
_cell_angle_alpha 117.21
_cell_angle_beta 100.70
_cell_angle_gamma 100.87
loop_
_symmetry_equiv_pos_as_xyz
'x,y,z'
loop_
_atom_site_label
_atom_site_fract_x
_atom_site_fract_y
_atom_site_fract_z
Se1 0.0000 0.0000 0.0000
Se2 0.2560 0.4480 0.3602
Cl1 0.6709 0.8386 0.0716
Cl2 0.8199 0.0755 0.7276
F1 0.0127 0.4740 0.5176
F2 0.1110 0.6050 0.2085
F3 0.3247 0.1904 0.4344
F4 0.4146 0.3154 0.1024

# SeClF2 | Alexandria | GGA-PBE | optimized geometry
# DFT total energy = -3.4068 eV per atom
# E above lowest polymorph = 0.0 meV/atom
# Energy relative to the elements, uncorrected = -1.14 eV per atom
# Fermi-level density of states = 0.0000 states/eV/atom
data_SeClF2
_symmetry_space_group_name_H-M 'P 1'
_symmetry_Int_Tables_number 1
_cell_length_a 5.4738
_cell_length_b 5.6836
_cell_length_c 6.0553
_cell_angle_alpha 89.21
_cell_angle_beta 89.03
_cell_angle_gamma 83.59
loop_
_symmetry_equiv_pos_as_xyz
'x,y,z'
loop_
_atom_site_label
_atom_site_fract_x
_atom_site_fract_y
_atom_site_fract_z
Se1 0.0000 0.0000 0.0000
Se2 0.3385 0.6785 0.3039
Cl1 0.2920 0.1252 0.8012
Cl2 0.9068 0.7235 0.7856
F1 0.1228 0.4512 0.2948
F2 0.4483 0.5708 0.0484
F3 0.5488 0.4743 0.4508
F4 0.5810 0.8844 0.2784

# Se4ClF | Alexandria | GGA-PBE | optimized geometry
# DFT total energy = -3.2385 eV per atom
# Energy relative to the elements, uncorrected = -0.30 eV per atom
data_Se4ClF
_symmetry_space_group_name_H-M 'C 1 2/c 1'
_symmetry_Int_Tables_number 15
_cell_length_a 7.9912
_cell_length_b 11.1790
_cell_length_c 8.1423
_cell_angle_alpha 90.00
_cell_angle_beta 114.00
_cell_angle_gamma 90.00
loop_
_symmetry_equiv_pos_as_xyz
'x,y,z'
'-x,-y,-z'
'-x,y,-z+1/2'
'x,-y,z+1/2'
'x+1/2,y+1/2,z'
'-x+1/2,-y+1/2,-z'
'-x+1/2,y+1/2,-z+1/2'
'x+1/2,-y+1/2,z+1/2'
loop_
_atom_site_label
_atom_site_fract_x
_atom_site_fract_y
_atom_site_fract_z
Se1 0.1291 0.1120 0.2189
Se2 0.1289 0.3253 0.2176
Cl1 0.0000 0.4013 0.7500
F1 0.0000 0.0743 0.7500

# SeCl2F | Alexandria | GGA-PBE | optimized geometry
# DFT total energy = -2.0462 eV per atom
# E above lowest polymorph = 119.1 meV/atom
# Energy relative to the elements, uncorrected = 0.22 eV per atom
# Fermi-level density of states = 0.6822 states/eV/atom
data_SeCl2F
_symmetry_space_group_name_H-M 'R -3 m'
_symmetry_Int_Tables_number 166
_symmetry_space_group_name_Hall '-R 3 2"'
_cell_length_a 3.3903
_cell_length_b 3.3903
_cell_length_c 24.4894
_cell_angle_alpha 90.00
_cell_angle_beta 90.00
_cell_angle_gamma 120.00
loop_
_atom_site_label
_atom_site_fract_x
_atom_site_fract_y
_atom_site_fract_z
Se1 0.0000 0.0000 0.0000
Cl1 0.0000 0.0000 0.4142
F1 0.0000 0.0000 0.5000

# SeClF | Alexandria | GGA-PBE | optimized geometry
# DFT total energy = -3.2076 eV per atom
# E above lowest polymorph = 0.0 meV/atom
# Energy relative to the elements, uncorrected = -0.81 eV per atom
# Fermi-level density of states = 0.0000 states/eV/atom
data_SeClF
_symmetry_space_group_name_H-M 'P 1'
_symmetry_Int_Tables_number 1
_cell_length_a 5.3899
_cell_length_b 6.0020
_cell_length_c 6.2373
_cell_angle_alpha 112.41
_cell_angle_beta 101.21
_cell_angle_gamma 93.99
loop_
_symmetry_equiv_pos_as_xyz
'x,y,z'
loop_
_atom_site_label
_atom_site_fract_x
_atom_site_fract_y
_atom_site_fract_z
Se1 0.0000 0.0000 0.0000
Se2 0.1889 0.8254 0.6791
Cl1 0.4622 0.6119 0.7975
Cl2 0.8321 0.1284 0.6838
F1 0.1764 0.8741 0.1991
F2 0.2003 0.2900 0.1731

# SeClF2 | Alexandria | GGA-PBE | optimized geometry
# DFT total energy = -2.2131 eV per atom
# E above lowest polymorph = 1193.6 meV/atom
# Energy relative to the elements, uncorrected = 0.06 eV per atom
# Fermi-level density of states = 0.8728 states/eV/atom
data_SeClF2
_symmetry_space_group_name_H-M 'F m -3 m'
_symmetry_Int_Tables_number 225
_symmetry_space_group_name_Hall '-F 4 2 3'
_cell_length_a 6.0286
_cell_length_b 6.0286
_cell_length_c 6.0286
_cell_angle_alpha 90.00
_cell_angle_beta 90.00
_cell_angle_gamma 90.00
loop_
_atom_site_label
_atom_site_fract_x
_atom_site_fract_y
_atom_site_fract_z
Se1 0.0000 0.0000 0.0000
Cl1 0.0000 0.0000 0.5000
F1 0.2500 0.2500 0.2500

# SeClF | Alexandria | GGA-PBE | optimized geometry
# DFT total energy = -3.1988 eV per atom
# E above lowest polymorph = 8.8 meV/atom
# Energy relative to the elements, uncorrected = -0.80 eV per atom
# Fermi-level density of states = 0.0000 states/eV/atom
data_SeClF
_symmetry_space_group_name_H-M 'P 1'
_symmetry_Int_Tables_number 1
_cell_length_a 5.2594
_cell_length_b 5.9898
_cell_length_c 6.2618
_cell_angle_alpha 109.74
_cell_angle_beta 97.49
_cell_angle_gamma 91.95
loop_
_symmetry_equiv_pos_as_xyz
'x,y,z'
loop_
_atom_site_label
_atom_site_fract_x
_atom_site_fract_y
_atom_site_fract_z
Se1 0.0000 0.0000 0.0000
Se2 0.2974 0.3413 0.1733
Cl1 0.1201 0.7914 0.6704
Cl2 0.5857 0.2430 0.3983
F1 0.1793 0.8163 0.1473
F2 0.8813 0.2359 0.8740

# SeClF | Alexandria | GGA-PBE | optimized geometry
# DFT total energy = -3.0973 eV per atom
# E above lowest polymorph = 110.4 meV/atom
# Energy relative to the elements, uncorrected = -0.70 eV per atom
data_SeClF
_symmetry_space_group_name_H-M 'P 1'
_symmetry_Int_Tables_number 1
_cell_length_a 4.6867
_cell_length_b 5.8995
_cell_length_c 6.4874
_cell_angle_alpha 98.68
_cell_angle_beta 94.78
_cell_angle_gamma 113.00
loop_
_symmetry_equiv_pos_as_xyz
'x,y,z'
loop_
_atom_site_label
_atom_site_fract_x
_atom_site_fract_y
_atom_site_fract_z
Se1 0.0000 0.0000 0.0000
Se2 0.1052 0.3996 0.3046
Cl1 0.3297 0.2196 0.4859
Cl2 0.5346 0.6910 0.1771
F1 0.7763 0.1162 0.8441
F2 0.9145 0.7432 0.7739

# SeClF2 | Alexandria | GGA-PBE | optimized geometry
# DFT total energy = -3.3657 eV per atom
# E above lowest polymorph = 41.0 meV/atom
# Energy relative to the elements, uncorrected = -1.10 eV per atom
# Fermi-level density of states = 0.0000 states/eV/atom
data_SeClF2
_symmetry_space_group_name_H-M 'P 1'
_symmetry_Int_Tables_number 1
_cell_length_a 5.2052
_cell_length_b 5.5454
_cell_length_c 6.3468
_cell_angle_alpha 89.36
_cell_angle_beta 89.56
_cell_angle_gamma 89.50
loop_
_symmetry_equiv_pos_as_xyz
'x,y,z'
loop_
_atom_site_label
_atom_site_fract_x
_atom_site_fract_y
_atom_site_fract_z
Se1 0.0000 0.0000 0.0000
Se2 0.2504 0.7068 0.3243
Cl1 0.6103 0.9889 0.2972
Cl2 0.8528 0.7090 0.8176
F1 0.2802 0.0492 0.8342
F2 0.3883 0.5626 0.1071
F3 0.4250 0.5140 0.5015
F4 0.9969 0.4844 0.3131

# SeClF2 | Alexandria | GGA-PBE | optimized geometry
# DFT total energy = -3.3653 eV per atom
# E above lowest polymorph = 41.5 meV/atom
# Energy relative to the elements, uncorrected = -1.10 eV per atom
# Fermi-level density of states = 0.0000 states/eV/atom
data_SeClF2
_symmetry_space_group_name_H-M 'P -1'
_symmetry_Int_Tables_number 2
_cell_length_a 4.6989
_cell_length_b 6.1726
_cell_length_c 6.2556
_cell_angle_alpha 92.03
_cell_angle_beta 104.71
_cell_angle_gamma 92.69
loop_
_symmetry_equiv_pos_as_xyz
'x,y,z'
'-x,-y,-z'
loop_
_atom_site_label
_atom_site_fract_x
_atom_site_fract_y
_atom_site_fract_z
Se1 0.1108 0.4431 0.3260
Cl1 0.1508 0.8561 0.7724
F1 0.1795 0.3997 0.8561
F2 0.4024 0.2848 0.5175

# SeCl5F | Alexandria | GGA-PBE | optimized geometry
# DFT total energy = -2.2683 eV per atom
# Energy relative to the elements, uncorrected = -0.18 eV per atom
data_SeCl5F
_symmetry_space_group_name_H-M 'I m m 2'
_symmetry_Int_Tables_number 44
_cell_length_a 7.6881
_cell_length_b 10.5603
_cell_length_c 6.5312
_cell_angle_alpha 90.00
_cell_angle_beta 90.00
_cell_angle_gamma 90.00
loop_
_symmetry_equiv_pos_as_xyz
'x,y,z'
'-x,-y,z'
'-x,y,z'
'x,-y,z'
'x+1/2,y+1/2,z+1/2'
'-x+1/2,-y+1/2,z+1/2'
'-x+1/2,y+1/2,z+1/2'
'x+1/2,-y+1/2,z+1/2'
loop_
_atom_site_label
_atom_site_fract_x
_atom_site_fract_y
_atom_site_fract_z
Se1 0.0000 0.0000 0.0000
Cl1 0.0000 0.0000 0.6659
Cl2 0.0000 0.2172 0.0027
Cl3 0.2349 0.5000 0.6505
F1 0.0000 0.5000 0.8068

# SeClF2 | Alexandria | GGA-PBE | optimized geometry
# DFT total energy = -3.3582 eV per atom
# E above lowest polymorph = 48.5 meV/atom
# Energy relative to the elements, uncorrected = -1.09 eV per atom
# Fermi-level density of states = 0.0000 states/eV/atom
data_SeClF2
_symmetry_space_group_name_H-M 'P 1'
_symmetry_Int_Tables_number 1
_cell_length_a 5.8508
_cell_length_b 6.2433
_cell_length_c 6.3050
_cell_angle_alpha 105.03
_cell_angle_beta 113.96
_cell_angle_gamma 100.21
loop_
_symmetry_equiv_pos_as_xyz
'x,y,z'
loop_
_atom_site_label
_atom_site_fract_x
_atom_site_fract_y
_atom_site_fract_z
Se1 0.0000 0.0000 0.0000
Se2 0.2459 0.0945 0.4616
Cl1 0.1501 0.3773 0.6423
Cl2 0.7608 0.2509 0.0201
F1 0.1918 0.7837 0.0371
F2 0.4383 0.2981 0.3656
F3 0.7128 0.7610 0.8721
F4 0.9884 0.8783 0.4697

# SeCl3F | Alexandria | GGA-PBE | optimized geometry
# DFT total energy = -2.1657 eV per atom
# E above lowest polymorph = 666.2 meV/atom
# Energy relative to the elements, uncorrected = 0.01 eV per atom
# Fermi-level density of states = 2.1562 states/eV/atom
data_SeCl3F
_symmetry_space_group_name_H-M 'P m -3 m'
_symmetry_Int_Tables_number 221
_symmetry_space_group_name_Hall '-P 4 2 3'
_cell_length_a 4.9000
_cell_length_b 4.9000
_cell_length_c 4.9000
_cell_angle_alpha 90.00
_cell_angle_beta 90.00
_cell_angle_gamma 90.00
loop_
_atom_site_label
_atom_site_fract_x
_atom_site_fract_y
_atom_site_fract_z
Se1 0.0000 0.0000 0.0000
Cl1 0.0000 0.0000 0.5000
F1 0.5000 0.5000 0.5000